# BeNiP2O (GGA+U, optimized geometry)
data_BeNiP2O
_cell_length_a 4.797
_cell_length_b 4.797
_cell_length_c 2.854
_cell_angle_alpha 90.00
_cell_angle_beta 90.00
_cell_angle_gamma 90.00
_space_group_name_H-M_alt 'P 4/m m m'
_space_group_IT_number 123
_space_group_name_Hall '-P 4 2'
loop_
_atom_site_label
_atom_site_fract_x
_atom_site_fract_y
_atom_site_fract_z
_atom_site_occupancy
Be1 0.000 0.000 0.000 1
Ni1 0.500 0.500 0.500 1
P1 0.000 0.500 0.000 1
O1 0.000 0.000 0.500 1
# Energy relative to the lowest polymorph listed for this composition, eV/atom: 0.0000
# Density, kg/m³: 3683
# Spin magnetization, μB per cell: 0.9